# 1
Here is a relaxed Eu3Ag5Se12 crystal from Alexandria. Energies are from PBE.

Cell: 14.0977 14.0977 14.0977 Å, 109.47 109.47 109.47°
Closest atoms and distances in Å follow each position.
Positions (direct):
Eu  0.8750  0.7500  0.1250  8 Se 3.03-3.09
Eu  0.8750  0.1250  0.2500  8 Se 3.03-3.09
Eu  0.1250  0.8750  0.7500  8 Se 3.03-3.09
Eu  0.1250  0.2500  0.8750  8 Se 3.03-3.09
Eu  0.2500  0.1250  0.3750  8 Se 3.03-3.09
Eu  0.6250  0.2500  0.3750  8 Se 3.03-3.09
Eu  0.7500  0.8750  0.6250  8 Se 3.03-3.09
Eu  0.3750  0.7500  0.6250  8 Se 3.03-3.09
Eu  0.3750  0.6250  0.2500  8 Se 3.03-3.09
Eu  0.7500  0.3750  0.1250  8 Se 3.03-3.09
Eu  0.6250  0.3750  0.7500  8 Se 3.03-3.09
Eu  0.2500  0.6250  0.8750  8 Se 3.03-3.09
Se  0.9187  0.8322  0.7881  2 Ag 2.59-2.65
Se  0.5865  0.6306  0.4187  2 Ag 2.59-2.65
Se  0.0813  0.1678  0.2119  2 Ag 2.59-2.65
Se  0.1678  0.0813  0.7119  2 Ag 2.59-2.65
Se  0.3322  0.5441  0.4135  2 Ag 2.59-2.65
Se  0.6678  0.2119  0.5813  2 Ag 2.59-2.65
Se  0.0441  0.6306  0.7119  2 Ag 2.59-2.65
Se  0.6306  0.0441  0.2119  2 Ag 2.59-2.65
Se  0.9187  0.0865  0.6306  2 Ag 2.59-2.65
Se  0.9559  0.3694  0.2881  2 Ag 2.59-2.65
Se  0.0865  0.9187  0.1306  2 Ag 2.59-2.65
Se  0.2881  0.4187  0.8322  2 Ag 2.59-2.65
Se  0.4135  0.0441  0.3322  2 Ag 2.59-2.65
Se  0.9135  0.0813  0.8694  2 Ag 2.59-2.65
Se  0.0813  0.9135  0.3694  2 Ag 2.59-2.65
Se  0.1306  0.7119  0.5441  2 Ag 2.59-2.65
Se  0.1306  0.4187  0.0865  2 Ag 2.59-2.65
Se  0.5865  0.9559  0.6678  2 Ag 2.59-2.65
Se  0.0441  0.4135  0.8322  2 Ag 2.59-2.65
Se  0.6306  0.5865  0.9187  2 Ag 2.59-2.65
Se  0.3694  0.4135  0.0813  2 Ag 2.59-2.65
Se  0.7119  0.1306  0.0441  2 Ag 2.59-2.65
Se  0.8694  0.5813  0.9135  2 Ag 2.59-2.65
Se  0.6678  0.4559  0.5865  2 Ag 2.59-2.65
Se  0.2119  0.5441  0.6306  2 Ag 2.59-2.65
Se  0.5441  0.2119  0.1306  2 Ag 2.59-2.65
Se  0.9559  0.5865  0.1678  2 Ag 2.59-2.65
Se  0.4559  0.7881  0.8694  2 Ag 2.59-2.65
Se  0.5813  0.7119  0.6678  2 Ag 2.59-2.65
Se  0.8322  0.9135  0.0441  2 Ag 2.59-2.65
Se  0.8694  0.2881  0.4559  2 Ag 2.59-2.65
Se  0.2119  0.6678  0.0813  2 Ag 2.59-2.65
Se  0.7119  0.5813  0.1678  2 Ag 2.59-2.65
Se  0.2881  0.8694  0.9559  2 Ag 2.59-2.65
Se  0.3322  0.7881  0.4187  2 Ag 2.59-2.65
Se  0.4187  0.1306  0.5865  2 Ag 2.59-2.65
Se  0.7881  0.3322  0.9187  2 Ag 2.59-2.65
Se  0.5813  0.8694  0.4135  2 Ag 2.59-2.65
Se  0.4135  0.3694  0.5813  2 Ag 2.59-2.65
Se  0.4187  0.2881  0.3322  2 Ag 2.59-2.65
Se  0.7881  0.4559  0.3694  2 Ag 2.59-2.65
Se  0.4559  0.6678  0.0865  2 Ag 2.59-2.65
Se  0.0865  0.1678  0.4559  2 Ag 2.59-2.65
Se  0.5441  0.3322  0.9135  2 Ag 2.59-2.65
Se  0.8322  0.9187  0.2881  2 Ag 2.59-2.65
Se  0.1678  0.0865  0.9559  2 Ag 2.59-2.65
Se  0.9135  0.8322  0.5441  2 Ag 2.59-2.65
Se  0.3694  0.9559  0.7881  2 Ag 2.59-2.65
Ag  0.3750  0.2500  0.1250  4 Se 2.59
Ag  0.5000  0.0000  0.0000  6 Se 2.65
Ag  0.5000  0.5000  0.0000  6 Se 2.65
Ag  0.2500  0.3750  0.6250  4 Se 2.59
Ag  0.6250  0.7500  0.8750  4 Se 2.59
Ag  0.8750  0.6250  0.7500  4 Se 2.59
Ag  0.5000  0.5000  0.5000  6 Se 2.65
Ag  0.1250  0.3750  0.2500  4 Se 2.59
Ag  0.3750  0.1250  0.7500  4 Se 2.59
Ag  0.8750  0.2500  0.6250  4 Se 2.59
Ag  0.0000  0.5000  0.0000  6 Se 2.65
Ag  0.5000  0.0000  0.5000  6 Se 2.65
Ag  0.7500  0.6250  0.3750  4 Se 2.59
Ag  0.7500  0.1250  0.8750  4 Se 2.59
Ag  0.2500  0.8750  0.1250  4 Se 2.59
Ag  0.0000  0.5000  0.5000  6 Se 2.65
Ag  0.0000  0.0000  0.0000  6 Se 2.65
Ag  0.6250  0.8750  0.2500  4 Se 2.59
Ag  0.1250  0.7500  0.3750  4 Se 2.59
Ag  0.0000  0.0000  0.5000  6 Se 2.65

For the spin magnetization, the calculation gives 0.92 μB/atom. For the density, the calculation gives 5.98 g/cm3. The calculation puts the total energy at -4.775 eV/atom. As for the crystal system: cubic.

---

# 2
Here is a relaxed ZrAsIr crystal from Alexandria. Energies are from PBE.

Cell: 3.0358 3.0358 6.6269 Å, 90.00 90.00 120.00°
Closest atoms and distances in Å follow each position.
Positions (direct):
Ir  0.6667  0.3333  0.3202  3 As 2.67, 3 Zr 2.87
As  0.0000  0.0000  0.0173  3 Ir 2.67, 3 Zr 2.93
Zr  0.3333  0.6667  0.6625  3 Ir 2.87, 3 As 2.93, 6 Zr 3.04

For the spin magnetization, the calculation gives 0.00 μB/atom. For the density, the calculation gives 11.25 g/cm3. The calculation puts the total energy at -7.490 eV/atom. The formation energy from the elements comes out at -0.137 eV/atom. As for the crystal system: trigonal.

---

# 3
Here is a relaxed Pr5Pd2Pb crystal from Alexandria. Energies are from PBE.

Cell: 8.2138 8.2138 9.0804 Å, 116.89 116.89 90.00°
Closest atoms and distances in Å follow each position.
Positions (direct):
Pr  0.2984  0.7984  0.2819  3 Pd 3.09-3.14, 2 Pb 3.45
Pr  0.5000  0.5000  0.0000  4 Pd 3.21, 2 Pb 3.49
Pr  0.5165  0.7016  0.7181  3 Pd 3.09-3.14, 2 Pb 3.45
Pr  0.0000  0.0000  0.0000  4 Pd 3.21, 2 Pb 3.49
Pr  0.2016  0.0165  0.7181  3 Pd 3.09-3.14, 2 Pb 3.45
Pr  0.7984  0.9835  0.2819  3 Pd 3.09-3.14, 2 Pb 3.45
Pr  0.9835  0.4835  0.2819  3 Pd 3.09-3.14, 2 Pb 3.45
Pr  0.7016  0.2016  0.7181  3 Pd 3.09-3.14, 2 Pb 3.45
Pr  0.0165  0.5165  0.7181  3 Pd 3.09-3.14, 2 Pb 3.45
Pr  0.4835  0.2984  0.2819  3 Pd 3.09-3.14, 2 Pb 3.45
Pd  0.6319  0.1319  0.0000  1 Pd 3.06, 8 Pr 3.09-3.21
Pd  0.8681  0.6319  0.0000  1 Pd 3.06, 8 Pr 3.09-3.21
Pd  0.3681  0.8681  0.0000  1 Pd 3.06, 8 Pr 3.09-3.21
Pd  0.1319  0.3681  0.0000  1 Pd 3.06, 8 Pr 3.09-3.21
Pb  0.7500  0.7500  0.5000  10 Pr 3.45-3.49
Pb  0.2500  0.2500  0.5000  10 Pr 3.45-3.49

For the spin magnetization, the calculation gives 0.00 μB/atom. For the density, the calculation gives 7.93 g/cm3. The calculation puts the total energy at -5.297 eV/atom. The formation energy from the elements comes out at -0.548 eV/atom. As for the crystal system: tetragonal.

---

# 4
Here is a relaxed Mg3Zr3Sc crystal from Alexandria. Energies are from PBE.

Cell: 5.0468 8.5433 8.5433 Å, 120.00 90.00 90.00°
Closest atoms and distances in Å follow each position.
Positions (direct):
Mg  0.2500  0.7610  0.9520  5 Zr 3.13-3.26, 6 Mg 3.14-3.24, 1 Sc 3.22
Mg  0.7500  0.8090  0.7610  5 Zr 3.13-3.26, 6 Mg 3.14-3.24, 1 Sc 3.22
Mg  0.2500  0.1910  0.2390  5 Zr 3.13-3.26, 6 Mg 3.14-3.24, 1 Sc 3.22
Mg  0.7500  0.9520  0.1910  5 Zr 3.13-3.26, 6 Mg 3.14-3.24, 1 Sc 3.22
Mg  0.2500  0.0480  0.8090  5 Zr 3.13-3.26, 6 Mg 3.14-3.24, 1 Sc 3.22
Mg  0.7500  0.2390  0.0480  5 Zr 3.13-3.26, 6 Mg 3.14-3.24, 1 Sc 3.22
Sc  0.7500  0.6667  0.3333  9 Zr 3.12-3.27, 3 Mg 3.22
Sc  0.2500  0.3333  0.6667  9 Zr 3.12-3.27, 3 Mg 3.22
Zr  0.7500  0.5235  0.8995  3 Sc 3.12-3.27, 5 Mg 3.13-3.26, 4 Zr 3.18-3.19
Zr  0.2500  0.4765  0.1005  3 Sc 3.12-3.27, 5 Mg 3.13-3.26, 4 Zr 3.18-3.19
Zr  0.7500  0.1005  0.6240  3 Sc 3.12-3.27, 5 Mg 3.13-3.26, 4 Zr 3.18-3.19
Zr  0.2500  0.6240  0.5235  3 Sc 3.12-3.27, 5 Mg 3.13-3.26, 4 Zr 3.18-3.19
Zr  0.7500  0.3760  0.4765  3 Sc 3.12-3.27, 5 Mg 3.13-3.26, 4 Zr 3.18-3.19
Zr  0.2500  0.8995  0.3760  3 Sc 3.12-3.27, 5 Mg 3.13-3.26, 4 Zr 3.18-3.19

For the spin magnetization, the calculation gives 0.00 μB/atom. For the density, the calculation gives 4.08 g/cm3. The calculation puts the total energy at -5.236 eV/atom. The formation energy from the elements comes out at 0.015 eV/atom. As for the crystal system: hexagonal.